Entry 1:
Compound: Sr2ZnCd
Source: Alexandria via LeMat-Bulk
Functional: SCAN
Structure: single point on PBEsol structure

```
Sr2ZnCd
1.0
0.0000 3.7396 3.7396
3.7396 0.0000 3.7396
3.7396 3.7396 0.0000
Sr Zn Cd
2 1 1
direct
0.0000 0.0000 0.0000
0.2500 0.2500 0.2500
0.5000 0.5000 0.5000
0.7500 0.7500 0.7500
```

The total energy comes out at -88.9 eV per cell. For the density, the calculation gives 5.6 Mg/m³. The calculation puts the total magnetic moment at 0.000 μB per atom.

Entry 2:
Compound: SrZnCd2
Source: Alexandria via LeMat-Bulk
Functional: SCAN
Structure: single point on PBEsol structure

```
SrZnCd2
1.0
2.3311 1.3459 5.4292
-2.3311 1.3459 5.4292
0.0000 -2.6917 5.4292
Sr Zn Cd
1 1 2
direct
0.0000 0.0000 0.0000
0.2043 0.2043 0.2043
0.5258 0.5258 0.5258
0.7922 0.7922 0.7922
```

The total energy comes out at -97.6 eV per cell. For the density, the calculation gives 6.1 Mg/m³. The calculation puts the total magnetic moment at 0.000 μB per atom.

Entry 3:
Compound: SrZn2Cd2
Source: Alexandria via LeMat-Bulk
Functional: SCAN
Structure: single point on PBEsol structure

```
SrZn2Cd2
1.0
-2.2173 2.2173 5.8100
2.2173 -2.2173 5.8100
2.2173 2.2173 -5.8100
Sr Zn Cd
1 2 2
direct
0.0000 0.0000 0.0000
0.2500 0.7500 0.5000
0.7500 0.2500 0.5000
0.3796 0.3796 0.0000
0.6204 0.6204 0.0000
```

The total energy comes out at -111.3 eV per cell. For the density, the calculation gives 6.4 Mg/m³. The calculation puts the total magnetic moment at 0.000 μB per atom.